[1]
Crystalline LiTePb2C at its relaxed geometry. Source: Alexandria, functional GGA-PBE.

Calculated values
final energy = -17.3 eV/cell
uncorrected formation energy = 881 meV per atom
theoretical density = 7.84 g cm⁻³

Structure (POSCAR):
```
LiTePb2C
1.0
-0.7574 0.9392 -5.3569
3.2394 -2.0841 -0.8234
-3.0307 -4.5638 -0.3717
Pb C Te Li
2 1 1 1
Cartesian
-1.5154 -2.2819 -0.1858
-0.3787 0.4696 -2.6784
1.6197 -1.0421 -0.4117
-0.2744 -2.8544 -3.2760
0.0000 0.0000 0.0000
```

[2]
Crystalline LiPdC2 at its relaxed geometry. Source: Alexandria, functional GGA-PBE.

Calculated values
final energy = -39.3 eV/cell
theoretical density = 4.10 g cm⁻³

Structure (POSCAR):
```
LiPdC2
1.0
4.9791 0.0000 0.0000
0.0000 4.9791 0.0000
2.4896 2.4896 4.4903
C Pd Li
4 2 2
Cartesian
3.9836 1.2448 1.1226
0.9955 3.7343 1.1226
3.7343 3.4850 3.3677
6.2239 6.4732 3.3677
0.0000 0.0000 0.0000
4.9791 2.4896 2.2451
2.4896 2.4896 0.0000
2.4896 4.9791 2.2451
```